Computed, not measured: a relaxed KTeCN2 crystal at the PBE level of DFT.

a = 4.6359 Å, b = 7.2340 Å, c = 4.6359 Å
α = 90.00°, β = 90.00°, γ = 90.00°
Fractional positions:
1 N 0.5000 0.0000 0.0000
2 K 0.0000 0.0000 0.0000
3 C 0.5000 0.5000 0.5000
4 Te 0.0000 0.5000 0.0000
5 N 0.0000 0.0000 0.5000

ΔE_f (raw)	3.676	eV per atom
total moment	0.18	μB/f.u.
energy relative to the lowest polymorph listed for this composition	6.737	eV/f.u.
raw total energy	-2.35	eV/atom